# PBE Cs2As2Pt, relaxed
data_Cs2As2Pt
_chemical_formula_sum 'Cs8 As8 Pt4'
_space_group_name_H-M_alt 'C 1 2/m 1'
_space_group_IT_number 12
_cell_length_a 14.305
_cell_length_b 4.647
_cell_length_c 12.076
_cell_angle_alpha 90.00
_cell_angle_beta 123.31
_cell_angle_gamma 90.00
loop_
_space_group_symop_operation_xyz
'x,y,z'
'-x,-y,-z'
'-x,y,-z'
'x,-y,z'
'x+1/2,y+1/2,z'
'-x+1/2,-y+1/2,-z'
'-x+1/2,y+1/2,-z'
'x+1/2,-y+1/2,z'
loop_
_atom_site_label
_atom_site_type_symbol
_atom_site_fract_x
_atom_site_fract_y
_atom_site_fract_z
Cs1 Cs 0.019 0.000 0.167
Cs2 Cs 0.200 0.000 0.606
As1 As 0.011 0.500 0.610
As2 As 0.235 0.500 0.077
Pt1 Pt 0.180 0.500 0.840
# * calculated formation energy: -416 meV per atom
# * E: -76.51 eV per cell